Entry 1:
VASP calculation (GGA-PBE) on AcPm2SmTl4 after structural relaxation. Values from VASP.

Output
* E_form: -0.35 eV per atom
* raw total energy: -30.6 eV/cell
* N(E_F): 8.04 states/eV per cell
* volume: 30.8 Å³ per atom

Cell and atoms, written as Quantum ESPRESSO input:
```
&SYSTEM
  ibrav = 0, nat = 8, ntyp = 4
/
ATOMIC_SPECIES
Ac 227.00 Ac.upf
Pm 145.00 Pm.upf
Sm 150.36 Sm.upf
Tl 204.38 Tl.upf
ATOMIC_POSITIONS crystal
Ac 0.000 0.000 0.000
Pm 0.249 0.249 0.249
Pm 0.751 0.751 0.751
Sm 0.500 0.500 0.500
Tl 0.128 0.128 0.128
Tl 0.379 0.379 0.379
Tl 0.621 0.621 0.621
Tl 0.872 0.872 0.872
CELL_PARAMETERS angstrom
2.790 1.611 9.132
-2.790 1.611 9.132
0.000 -3.222 9.132
```

Entry 2:
VASP calculation (GGA-PBE) on Nd2Y2Ho2Tm after structural relaxation. Values from VASP.

Output
* E_form: 0.09 eV per atom
* raw total energy: -71.0 eV/cell
* N(E_F): 23.01 states/eV per cell
* volume: 33.0 Å³ per atom

Cell and atoms, written as Quantum ESPRESSO input:
```
&SYSTEM
  ibrav = 0, nat = 14, ntyp = 4
/
ATOMIC_SPECIES
Nd 144.24 Nd.upf
Y 88.91 Y.upf
Ho 164.93 Ho.upf
Tm 168.93 Tm.upf
ATOMIC_POSITIONS crystal
Nd 0.172 0.000 0.087
Nd 0.328 0.500 0.913
Nd 0.672 0.500 0.087
Nd 0.828 0.000 0.913
Y 0.049 0.000 0.769
Y 0.451 0.500 0.231
Y 0.549 0.500 0.769
Y 0.951 0.000 0.231
Ho 0.229 0.500 0.366
Ho 0.271 0.000 0.634
Ho 0.729 0.000 0.366
Ho 0.771 0.500 0.634
Tm 0.000 0.500 0.500
Tm 0.500 0.000 0.500
CELL_PARAMETERS angstrom
11.749 0.000 0.000
0.000 3.515 0.000
-3.802 0.000 11.182
```

Entry 3:
VASP calculation (GGA-PBE) on BaCd4 after structural relaxation. Values from VASP.

Output
* E_form: 0.56 eV per atom
* raw total energy: -2.8 eV/cell
* energy relative to the lowest polymorph listed for this composition: 826 meV/atom
* N(E_F): 5.20 states/eV per cell
* volume: 64.0 Å³ per atom

Cell and atoms, written as Quantum ESPRESSO input:
```
&SYSTEM
  ibrav = 0, nat = 5, ntyp = 2
/
ATOMIC_SPECIES
Ba 137.33 Ba.upf
Cd 112.41 Cd.upf
ATOMIC_POSITIONS crystal
Ba 0.000 0.000 0.000
Cd 0.000 0.000 0.500
Cd 0.000 0.500 0.000
Cd 0.500 0.000 0.000
Cd 0.500 0.500 0.500
CELL_PARAMETERS angstrom
6.839 0.000 0.000
0.000 6.839 0.000
0.000 0.000 6.839
```

Entry 4:
VASP calculation (GGA-PBE) on NbAs2CBr after structural relaxation. Values from VASP.

Output
* raw total energy: -22.7 eV/cell
* energy relative to the lowest polymorph listed for this composition: 334 meV/atom
* raw formation energy: 1.513 eV/atom
* N(E_F): 5.81 states/eV per cell
* volume: 26.0 Å³ per atom

Cell and atoms, written as Quantum ESPRESSO input:
```
&SYSTEM
  ibrav = 0, nat = 5, ntyp = 4
/
ATOMIC_SPECIES
Nb 92.91 Nb.upf
As 74.92 As.upf
C 12.01 C.upf
Br 79.90 Br.upf
ATOMIC_POSITIONS crystal
Nb 0.000 0.000 0.000
As 0.000 0.500 0.000
As 0.500 0.000 0.000
C 0.500 0.500 0.500
Br 0.000 0.000 0.500
CELL_PARAMETERS angstrom
5.034 0.000 0.000
0.000 5.034 0.000
0.000 0.000 5.124
```

Entry 5:
VASP calculation (GGA-PBE) on TmCd5Pd2 after structural relaxation. Values from VASP.

Output
* E_form: -0.16 eV per atom
* raw total energy: -41.4 eV/cell
* N(E_F): 9.60 states/eV per cell
* volume: 22.6 Å³ per atom

Cell and atoms, written as Quantum ESPRESSO input:
```
&SYSTEM
  ibrav = 0, nat = 16, ntyp = 3
/
ATOMIC_SPECIES
Tm 168.93 Tm.upf
Cd 112.41 Cd.upf
Pd 106.42 Pd.upf
ATOMIC_POSITIONS crystal
Tm 0.333 0.667 0.250
Tm 0.667 0.333 0.750
Cd 0.000 0.000 0.137
Cd 0.000 0.000 0.363
Cd 0.000 0.000 0.637
Cd 0.000 0.000 0.863
Cd 0.333 0.667 0.569
Cd 0.333 0.667 0.750
Cd 0.333 0.667 0.931
Cd 0.667 0.333 0.069
Cd 0.667 0.333 0.250
Cd 0.667 0.333 0.431
Pd 0.333 0.667 0.093
Pd 0.333 0.667 0.407
Pd 0.667 0.333 0.593
Pd 0.667 0.333 0.907
CELL_PARAMETERS angstrom
4.939 0.000 0.000
-2.469 4.277 0.000
0.000 0.000 17.103
```

Entry 6:
VASP calculation (GGA-PBE) on ReW5 after structural relaxation. Values from VASP.

Output
* E_form: 0.02 eV per atom
* raw total energy: -154.2 eV/cell
* energy relative to the lowest polymorph listed for this composition: 0 meV/atom
* N(E_F): 7.38 states/eV per cell
* volume: 16.0 Å³ per atom

Cell and atoms, written as Quantum ESPRESSO input:
```
&SYSTEM
  ibrav = 0, nat = 12, ntyp = 2
/
ATOMIC_SPECIES
Re 186.21 Re.upf
W 183.84 W.upf
ATOMIC_POSITIONS crystal
Re 0.000 0.000 0.000
Re 0.500 0.500 0.000
W 0.000 0.167 0.500
W 0.000 0.334 0.000
W 0.000 0.500 0.500
W 0.000 0.666 0.000
W 0.000 0.833 0.500
W 0.500 0.000 0.500
W 0.500 0.166 0.000
W 0.500 0.333 0.500
W 0.500 0.667 0.500
W 0.500 0.834 0.000
CELL_PARAMETERS angstrom
4.482 0.000 0.000
0.000 13.453 0.000
0.000 0.000 3.178
```

Entry 7:
VASP calculation (GGA-PBE) on NiOsSe4 after structural relaxation. Values from VASP.

Output
* raw total energy: -62.1 eV/cell
* energy relative to the lowest polymorph listed for this composition: 0 meV/atom
* raw formation energy: -0.013 eV/atom
* N(E_F): 8.65 states/eV per cell
* volume: 20.2 Å³ per atom

Cell and atoms, written as Quantum ESPRESSO input:
```
&SYSTEM
  ibrav = 0, nat = 12, ntyp = 3
/
ATOMIC_SPECIES
Ni 58.69 Ni.upf
Os 190.23 Os.upf
Se 78.96 Se.upf
ATOMIC_POSITIONS crystal
Ni 0.000 0.000 0.000
Ni 0.750 0.250 0.500
Os 0.249 0.749 0.500
Os 0.499 0.499 0.000
Se 0.049 0.242 0.806
Se 0.436 0.242 0.194
Se 0.501 0.193 0.692
Se 0.501 0.809 0.308
Se 0.559 0.751 0.808
Se 0.943 0.751 0.192
Se 0.992 0.299 0.306
Se 0.992 0.686 0.694
CELL_PARAMETERS angstrom
-3.990 3.990 3.810
3.990 -3.990 3.810
3.990 3.990 -3.810
```